No. 1
# InSeO2 GGA-PBE relaxed
# * total magnetization: 0.276 μB per formula unit
# * energy above the lowest structure with this stoichiometry: 1088 meV/atom
# * calculated total energy: -3.859 eV per atom
# * volume: 53.4 Å³ per cell
# * symmetry: Fm-3m (225)
# * formation energy from raw total energies: 0.18 eV per atom
data_InSeO2
_chemical_formula_sum 'In1 Se1 O2'
_cell_length_a 4.2257
_cell_length_b 4.2257
_cell_length_c 4.2257
_cell_angle_alpha 60.00
_cell_angle_beta 60.00
_cell_angle_gamma 60.00
_symmetry_space_group_name_H-M 'P 1'
_symmetry_Int_Tables_number 1
_symmetry_space_group_name_Hall 'P 1'
loop_
_atom_site_label
_atom_site_type_symbol
_atom_site_fract_x
_atom_site_fract_y
_atom_site_fract_z
In1 In 0.0000 0.0000 0.0000
Se1 Se 0.5000 0.5000 0.5000
O1 O 0.2500 0.2500 0.2500
O2 O 0.7500 0.7500 0.7500

---

No. 2
# InSe2O GGA-PBE relaxed
# * total magnetization: 0.000 μB per formula unit
# * energy above the lowest structure with this stoichiometry: 523 meV/atom
# * calculated total energy: -3.236 eV per atom
# * volume: 71.3 Å³ per cell
# * symmetry: Fm-3m (225)
# * formation energy from raw total energies: 0.43 eV per atom
data_InSe2O
_chemical_formula_sum 'In1 Se2 O1'
_cell_length_a 4.6544
_cell_length_b 4.6544
_cell_length_c 4.6544
_cell_angle_alpha 60.00
_cell_angle_beta 60.00
_cell_angle_gamma 60.00
_symmetry_space_group_name_H-M 'P 1'
_symmetry_Int_Tables_number 1
_symmetry_space_group_name_Hall 'P 1'
loop_
_atom_site_label
_atom_site_type_symbol
_atom_site_fract_x
_atom_site_fract_y
_atom_site_fract_z
In1 In 0.0000 0.0000 0.0000
Se1 Se 0.2500 0.2500 0.2500
Se2 Se 0.7500 0.7500 0.7500
O1 O 0.5000 0.5000 0.5000

---

No. 3
# InSe3O GGA-PBE relaxed
# * total magnetization: 0.000 μB per formula unit
# * energy above the lowest structure with this stoichiometry: 0 meV/atom
# * calculated total energy: -3.369 eV per atom
# * volume: 98.1 Å³ per cell
# * symmetry: Pm-3m (221)
# * formation energy from raw total energies: 0.26 eV per atom
data_InSe3O
_chemical_formula_sum 'In1 Se3 O1'
_cell_length_a 4.6116
_cell_length_b 4.6116
_cell_length_c 4.6116
_cell_angle_alpha 90.00
_cell_angle_beta 90.00
_cell_angle_gamma 90.00
_symmetry_space_group_name_H-M 'P 1'
_symmetry_Int_Tables_number 1
_symmetry_space_group_name_Hall 'P 1'
loop_
_atom_site_label
_atom_site_type_symbol
_atom_site_fract_x
_atom_site_fract_y
_atom_site_fract_z
In1 In 0.0000 0.0000 0.0000
Se1 Se 0.0000 0.5000 0.5000
Se2 Se 0.5000 0.0000 0.5000
Se3 Se 0.5000 0.5000 0.0000
O1 O 0.5000 0.5000 0.5000

---

No. 4
# InSeO4 GGA-PBE relaxed
# * total magnetization: 0.000 μB per formula unit
# * energy above the lowest structure with this stoichiometry: 426 meV/atom
# * calculated total energy: -4.756 eV per atom
# * volume: 84.9 Å³ per cell
# * symmetry: I-4m2 (119)
# * formation energy from raw total energies: -0.41 eV per atom
data_InSeO4
_chemical_formula_sum 'In1 Se1 O4'
_cell_length_a 4.7969
_cell_length_b 4.7969
_cell_length_c 4.7969
_cell_angle_alpha 108.45
_cell_angle_beta 108.45
_cell_angle_gamma 111.54
_symmetry_space_group_name_H-M 'P 1'
_symmetry_Int_Tables_number 1
_symmetry_space_group_name_Hall 'P 1'
loop_
_atom_site_label
_atom_site_type_symbol
_atom_site_fract_x
_atom_site_fract_y
_atom_site_fract_z
In1 In 0.0000 0.0000 0.0000
Se1 Se 0.7500 0.2500 0.5000
O1 O 0.5238 0.0238 0.0475
O2 O 0.5238 0.4762 0.5000
O3 O 0.9762 0.0238 0.5000
O4 O 0.9762 0.4762 0.9525

---

No. 5
# In2SeO GGA-PBE relaxed
# * total magnetization: 0.000 μB per formula unit
# * energy above the lowest structure with this stoichiometry: 471 meV/atom
# * calculated total energy: -3.648 eV per atom
# * volume: 77.0 Å³ per cell
# * symmetry: Fm-3m (225)
# * formation energy from raw total energies: -0.17 eV per atom
data_In2SeO
_chemical_formula_sum 'In2 Se1 O1'
_cell_length_a 4.7752
_cell_length_b 4.7752
_cell_length_c 4.7752
_cell_angle_alpha 60.00
_cell_angle_beta 60.00
_cell_angle_gamma 60.00
_symmetry_space_group_name_H-M 'P 1'
_symmetry_Int_Tables_number 1
_symmetry_space_group_name_Hall 'P 1'
loop_
_atom_site_label
_atom_site_type_symbol
_atom_site_fract_x
_atom_site_fract_y
_atom_site_fract_z
In1 In 0.2500 0.2500 0.2500
In2 In 0.7500 0.7500 0.7500
Se1 Se 0.0000 0.0000 0.0000
O1 O 0.5000 0.5000 0.5000

---

No. 6
# InSe2O5 GGA-PBE relaxed
# * total magnetization: 0.000 μB per formula unit
# * calculated total energy: -5.149 eV per atom
# * volume: 550.9 Å³ per cell
# * symmetry: Pbcn (60)
# * formation energy from raw total energies: -0.84 eV per atom
data_InSe2O5
_chemical_formula_sum 'In4 Se8 O20'
_cell_length_a 7.1148
_cell_length_b 11.4237
_cell_length_c 6.7786
_cell_angle_alpha 90.00
_cell_angle_beta 90.00
_cell_angle_gamma 90.00
_symmetry_space_group_name_H-M 'P 1'
_symmetry_Int_Tables_number 1
_symmetry_space_group_name_Hall 'P 1'
loop_
_atom_site_label
_atom_site_type_symbol
_atom_site_fract_x
_atom_site_fract_y
_atom_site_fract_z
In1 In 0.0000 0.0558 0.2500
In2 In 0.0000 0.9442 0.7500
In3 In 0.5000 0.4442 0.7500
In4 In 0.5000 0.5558 0.2500
Se1 Se 0.1238 0.3381 0.0492
Se2 Se 0.1238 0.6619 0.5492
Se3 Se 0.3762 0.1619 0.5492
Se4 Se 0.3762 0.8381 0.0492
Se5 Se 0.6238 0.1619 0.9508
Se6 Se 0.6238 0.8381 0.4508
Se7 Se 0.8762 0.3381 0.4508
Se8 Se 0.8762 0.6619 0.9508
O1 O 0.0000 0.4197 0.2500
O2 O 0.0000 0.5803 0.7500
O3 O 0.1747 0.0722 0.5433
O4 O 0.1747 0.9278 0.0433
O5 O 0.1981 0.2150 0.1658
O6 O 0.1981 0.7850 0.6658
O7 O 0.3019 0.2850 0.6658
O8 O 0.3019 0.7150 0.1658
O9 O 0.3253 0.4278 0.0433
O10 O 0.3253 0.5722 0.5433
O11 O 0.5000 0.0803 0.7500
O12 O 0.5000 0.9197 0.2500
O13 O 0.6747 0.4278 0.4567
O14 O 0.6747 0.5722 0.9567
O15 O 0.6981 0.2850 0.8342
O16 O 0.6981 0.7150 0.3342
O17 O 0.8019 0.2150 0.3342
O18 O 0.8019 0.7850 0.8342
O19 O 0.8253 0.0722 0.9567
O20 O 0.8253 0.9278 0.4567